Here is MgNbSb2Cl after structural relaxation from Alexandria. Energies are from GGA-PBE.

Calculated values
**Uncorrected formation energy**: 0.19 eV per atom
**Final energy**: -20.83 eV per cell

Cell lengths 5.271, 5.706, 5.271 Å; angles 90.00, 90.00, 90.00 degrees
Fractional coordinates of all 5 atoms:
1 Sb 0.500 0.000 0.000
2 Sb 0.000 0.000 0.500
3 Cl 0.500 0.500 0.500
4 Nb 0.000 0.000 0.000
5 Mg 0.000 0.500 0.000